## IrRuWO2 (GGA+U)

Data for a geometry-optimized IrRuWO2 structure.

The calculation puts the theoretical density at 10.5 Mg/m³. The total energy comes out at -6.3190 eV per atom.

Cell: 3.6876 3.6876 5.8947 Å, 90.00 90.00 90.00°
Last column: nearest neighbours and their distance in Å.
Space group P4/mmm (No. 123)
Symmetry-distinct sites (fractional):
Ir  0.0000  0.0000  0.0000 [1 per cell]  4 O 1.84
Ru  0.5000  0.5000  0.5000 [1 per cell]  4 W 2.61
W  0.0000  0.0000  0.5000 [1 per cell]  4 Ru 2.61
O  0.0000  0.5000  0.0000 [2 per cell]  2 Ir 1.84